Record 1
# Zn2CrTe

Zn2CrTe after structural relaxation (PBE-GGA, the Alexandria database).

Calculated values
Energy relative to the elements, uncorrected: 0.8 eV per formula unit
SG: No. 25
Raw total energy: -3.634 eV/atom
D(E_F): 0.507 states/eV per atom
Size of the total moment: 3.30 μB per formula unit

Cell and atoms, written as extended XYZ:
```
4
Lattice="3.575 0.000 0.000 0.000 3.610 0.000 0.000 0.000 5.774" Properties=species:S:1:pos:R:3 pbc="T T T"
Zn 0.000 0.000 0.000
Zn 1.787 1.805 1.099
Cr 1.787 1.805 4.220
Te 0.000 0.000 2.978
```


Record 2
# Er3ZrSb4

Er3ZrSb4 after structural relaxation (PBE-GGA, the Alexandria database).

Calculated values
Energy relative to the elements, uncorrected: -7.7 eV per formula unit
SG: No. 65
Raw total energy: -5.803 eV/atom
D(E_F): 0.272 states/eV per atom
Size of the total moment: 0.00 μB per formula unit

Cell and atoms, written as extended XYZ:
```
8
Lattice="4.300 -6.060 0.000 4.300 6.060 0.000 0.000 0.000 4.285" Properties=species:S:1:pos:R:3 pbc="T T T"
Er 0.000 0.000 0.000
Er 2.150 3.030 2.143
Er 2.150 -3.030 2.143
Zr 4.300 0.000 0.000
Sb 4.300 2.980 0.000
Sb 2.218 0.000 2.143
Sb 6.383 0.000 2.143
Sb 4.300 -2.980 0.000
```


Record 3
# U2P2Ir

U2P2Ir after structural relaxation (PBE-GGA, the Alexandria database).

Calculated values
SG: No. 36
Raw total energy: -9.200 eV/atom
D(E_F): 1.861 states/eV per atom
Size of the total moment: 4.05 μB per formula unit
Energy relative to the elements: -749 meV per atom

Cell and atoms, written as extended XYZ:
```
10
Lattice="1.969 -8.748 0.000 1.969 8.748 0.000 0.000 0.000 5.482" Properties=species:S:1:pos:R:3 pbc="T T T"
U 1.969 8.420 2.741
U 1.969 5.265 1.099
U 1.969 -5.265 3.840
U 1.969 -8.420 0.000
P 1.969 5.459 3.847
P 1.969 1.522 3.729
P 1.969 -1.522 0.988
P 1.969 -5.459 1.106
Ir 1.969 2.016 1.430
Ir 1.969 -2.016 4.171
```


Record 4
# Nd6Tl3Ru

Nd6Tl3Ru after structural relaxation (PBE-GGA, the Alexandria database).

Calculated values
SG: No. 14
Raw total energy: -4.745 eV/atom
D(E_F): 0.771 states/eV per atom
Distance to the lowest polymorph of the same formula: 0.006 eV/atom
Size of the total moment: 0.00 μB per formula unit
Energy relative to the elements: -246 meV per atom

Cell and atoms, written as extended XYZ:
```
20
Lattice="5.469 0.000 0.000 0.000 9.278 0.000 -5.423 0.000 11.928" Properties=species:S:1:pos:R:3 pbc="T T T"
Nd -0.023 1.811 0.849
Nd -2.734 2.828 6.813
Nd 0.060 4.733 2.837
Nd -2.651 9.184 8.801
Nd -0.035 1.402 4.989
Nd -2.746 3.237 10.953
Nd 2.792 6.041 0.975
Nd 0.080 7.876 6.939
Nd 2.697 0.094 3.126
Nd -0.015 4.545 9.090
Nd 2.780 6.450 5.115
Nd 0.068 7.467 11.079
Tl -2.743 6.072 8.818
Tl -0.031 7.845 2.854
Tl 2.735 0.000 0.000
Tl 0.023 4.639 5.964
Tl 0.077 1.433 9.074
Tl 2.789 3.206 3.110
Ru -2.712 0.000 5.964
Ru 0.000 4.639 0.000
```